[1]
Compound: MgSb2Cl8
Source: the Alexandria database
Functional: PBE
Structure: relaxed

Calculated values
The calculation puts the formation energy (no corrections) at -1.103 eV/atom. The final energy is -36.75 eV/f.u. The total magnetization comes out at 0.0 μB per cell.

Cell: 16.831 8.635 12.932 Å, 90.00 127.51 90.00°
Space group C2/c (No. 15)
Symmetry-distinct sites (fractional):
1 Mg 0.000 0.036 0.250 [4 per cell]
2 Sb 0.003 0.254 0.510 [8 per cell]
3 Cl 0.099 0.247 0.240 [8 per cell]
4 Cl 0.108 0.052 0.502 [8 per cell]
5 Cl 0.111 0.169 0.763 [8 per cell]
6 Cl 0.122 0.449 0.549 [8 per cell]



[2]
Compound: HfCu2Ir2
Source: the Alexandria database
Functional: PBE
Structure: relaxed

Calculated values
The calculation puts the energy of formation from the pure elements at -0.192 eV per atom. The final energy is -36.83 eV/f.u. The total magnetization comes out at 0.0 μB per cell.

Cell: 6.960 6.960 3.042 Å, 90.00 90.00 90.00°
Space group P4/mbm (No. 127)
Symmetry-distinct sites (fractional):
1 Hf 0.000 0.000 0.000 [2 per cell]
2 Cu 0.124 0.376 0.000 [4 per cell]
3 Ir 0.174 0.674 0.500 [4 per cell]



[3]
Compound: In2HgSb
Source: the Alexandria database
Functional: PBE
Structure: relaxed

Calculated values
The calculation puts the formation energy (no corrections) at 0.032 eV/atom. The final energy is -9.77 eV/f.u. The total magnetization comes out at 0.0 μB per cell.

Cell: 8.518 8.518 6.209 Å, 90.00 90.00 90.00°
Space group I-42d (No. 122)
Symmetry-distinct sites (fractional):
1 In 0.238 0.250 0.125 [8 per cell]
2 Hg 0.000 0.000 0.500 [4 per cell]
3 Sb 0.000 0.000 0.000 [4 per cell]



[4]
Compound: Mg2PPb2
Source: the Alexandria database
Functional: PBE
Structure: relaxed

Calculated values
The calculation puts the energy of formation from the pure elements at -0.017 eV per atom. The final energy is -16.10 eV/f.u. The total magnetization comes out at 0.0 μB per cell.

Cell: 6.847 6.847 5.303 Å, 90.00 90.00 90.00°
Space group P4/mbm (No. 127)
Symmetry-distinct sites (fractional):
1 Mg 0.156 0.344 0.000 [4 per cell]
2 P 0.000 0.000 0.000 [2 per cell]
3 Pb 0.165 0.665 0.500 [4 per cell]



[5]
Compound: Dy7Cd2Ir2
Source: the Alexandria database
Functional: PBE
Structure: relaxed

Calculated values
The calculation puts the energy of formation from the pure elements at -0.404 eV per atom. The final energy is -56.21 eV/f.u. The total magnetization comes out at 0.0 μB per cell.

Cell: 8.151 10.861 7.129 Å, 90.00 90.00 90.00°
Space group Cmmm (No. 65)
Symmetry-distinct sites (fractional):
1 Dy 0.000 0.000 0.000 [2 per cell]
2 Dy 0.000 0.500 0.243 [4 per cell]
3 Dy 0.250 0.250 0.249 [8 per cell]
4 Cd 0.176 0.000 0.500 [4 per cell]
5 Ir 0.000 0.287 0.000 [4 per cell]



[6]
Compound: TaCr2FeC
Source: the Alexandria database
Functional: PBE
Structure: relaxed

Calculated values
The calculation puts the energy of formation from the pure elements at -0.047 eV per atom. The final energy is -49.02 eV/f.u. The total magnetization comes out at 2.1 μB per cell.

Cell: 3.930 3.930 3.760 Å, 90.00 90.00 90.00°
Space group P4/mmm (No. 123)
Symmetry-distinct sites (fractional):
1 Ta 0.000 0.000 0.000 [1 per cell]
2 Cr 0.000 0.500 0.500 [2 per cell]
3 Fe 0.500 0.500 0.000 [1 per cell]
4 C 0.500 0.500 0.500 [1 per cell]



[7]
Compound: NbV4Rh5
Source: the Alexandria database
Functional: PBE
Structure: relaxed

Calculated values
The calculation puts the energy of formation from the pure elements at -0.375 eV per atom. The final energy is -87.05 eV/f.u. The total magnetization comes out at 0.0 μB per cell.

Cell: 2.781 2.781 18.343 Å, 90.00 90.00 90.00°
Space group P4/mmm (No. 123)
Symmetry-distinct sites (fractional):
1 Nb 0.000 0.000 0.000 [1 per cell]
2 V 0.000 0.000 0.206 [2 per cell]
3 V 0.000 0.000 0.402 [2 per cell]
4 Rh 0.500 0.500 0.112 [2 per cell]
5 Rh 0.500 0.500 0.304 [2 per cell]
6 Rh 0.500 0.500 0.500 [1 per cell]



[8]
Compound: MgCd2Au2
Source: the Alexandria database
Functional: PBE
Structure: relaxed

Calculated values
The calculation puts the energy of formation from the pure elements at -0.169 eV per atom. The final energy is -10.82 eV/f.u. The total magnetization comes out at 0.0 μB per cell.

Cell: 8.072 8.072 3.158 Å, 90.00 90.00 90.00°
Space group P4/mbm (No. 127)
Symmetry-distinct sites (fractional):
1 Mg 0.000 0.000 0.000 [2 per cell]
2 Cd 0.128 0.372 0.000 [4 per cell]
3 Au 0.172 0.672 0.500 [4 per cell]